1.
Here is a geometry-optimized Rb5AgTeO2 structure from Alexandria via LeMat-Bulk. Energies are from PBE-GGA.

```
data_Rb5AgTeO2
_chemical_formula_sum 'Rb5 Ag1 Te1 O2'
_symmetry_space_group_name_H-M 'P 4/m m m'
_symmetry_Int_Tables_number 123
_symmetry_space_group_name_Hall '-P 4 2'
_cell_length_a 5.732
_cell_length_b 5.732
_cell_length_c 9.732
_cell_angle_alpha 90.00
_cell_angle_beta 90.00
_cell_angle_gamma 90.00
loop_
_atom_site_label
_atom_site_fract_x
_atom_site_fract_y
_atom_site_fract_z
Rb1 0.000 0.000 0.000
Rb2 0.000 0.500 0.260
Ag1 0.000 0.000 0.500
Te1 0.500 0.500 0.000
O1 0.000 0.000 0.290
```

2.
Here is a geometry-optimized RbAgTeO4 structure from Alexandria via LeMat-Bulk. Energies are from PBE-GGA.

```
data_RbAgTeO4
_chemical_formula_sum 'Rb2 Ag2 Te2 O8'
_symmetry_space_group_name_H-M 'P 1 21/m 1'
_symmetry_Int_Tables_number 11
_symmetry_space_group_name_Hall '-P 2yb'
_cell_length_a 6.249
_cell_length_b 6.518
_cell_length_c 7.525
_cell_angle_alpha 90.00
_cell_angle_beta 106.46
_cell_angle_gamma 90.00
loop_
_atom_site_label
_atom_site_fract_x
_atom_site_fract_y
_atom_site_fract_z
Rb1 0.217 0.250 0.448
Ag1 0.336 0.250 0.984
Te1 0.231 0.750 0.161
O1 0.030 0.750 0.928
O2 0.076 0.750 0.336
O3 0.428 0.528 0.202
```

3.
Here is a geometry-optimized RbTiAgO3 structure from Alexandria via LeMat-Bulk. Energies are from PBE-GGA.

```
data_RbTiAgO3
_chemical_formula_sum 'Rb4 Ti4 Ag4 O12'
_symmetry_space_group_name_H-M 'C 1 2/m 1'
_symmetry_Int_Tables_number 12
_symmetry_space_group_name_Hall '-C 2y'
_cell_length_a 9.697
_cell_length_b 7.132
_cell_length_c 6.992
_cell_angle_alpha 90.00
_cell_angle_beta 113.95
_cell_angle_gamma 90.00
loop_
_atom_site_label
_atom_site_fract_x
_atom_site_fract_y
_atom_site_fract_z
Rb1 0.190 0.000 0.155
Ti1 0.096 0.500 0.220
Ag1 0.000 0.223 0.500
O1 0.026 0.300 0.820
O2 0.218 0.000 0.585
```

4.
Here is a geometry-optimized Rb2TiAgO4 structure from Alexandria via LeMat-Bulk. Energies are from PBE-GGA.

```
data_Rb2TiAgO4
_chemical_formula_sum 'Rb16 Ti8 Ag8 O32'
_symmetry_space_group_name_H-M 'F d d d'
_symmetry_Int_Tables_number 70
_cell_length_a 5.506
_cell_length_b 12.537
_cell_length_c 20.376
_cell_angle_alpha 90.00
_cell_angle_beta 90.00
_cell_angle_gamma 90.00
loop_
_symmetry_equiv_pos_as_xyz
'x,y,z'
'-x,-y,-z'
'-x+1/4,-y+1/4,z'
'x+1/4,y+1/4,-z'
'x,-y+1/4,-z+1/4'
'-x,y+1/4,z+1/4'
'-x+1/4,y,-z+1/4'
'x+1/4,-y,z+1/4'
'x,y+1/2,z+1/2'
'-x,-y+1/2,-z+1/2'
'-x+1/4,-y+3/4,z+1/2'
'x+1/4,y+3/4,-z+1/2'
'x,-y+3/4,-z+3/4'
'-x,y+3/4,z+3/4'
'-x+1/4,y+1/2,-z+3/4'
'x+1/4,-y+1/2,z+3/4'
'x+1/2,y,z+1/2'
'-x+1/2,-y,-z+1/2'
'-x+3/4,-y+1/4,z+1/2'
'x+3/4,y+1/4,-z+1/2'
'x+1/2,-y+1/4,-z+3/4'
'-x+1/2,y+1/4,z+3/4'
'-x+3/4,y,-z+3/4'
'x+3/4,-y,z+3/4'
'x+1/2,y+1/2,z'
'-x+1/2,-y+1/2,-z'
'-x+3/4,-y+3/4,z'
'x+3/4,y+3/4,-z'
'x+1/2,-y+3/4,-z+1/4'
'-x+1/2,y+3/4,z+1/4'
'-x+3/4,y+1/2,-z+1/4'
'x+3/4,-y+1/2,z+1/4'
loop_
_atom_site_label
_atom_site_fract_x
_atom_site_fract_y
_atom_site_fract_z
Rb1 0.125 0.125 0.303
Ti1 0.125 0.125 0.625
Ag1 0.125 0.125 0.125
O1 0.078 0.284 0.829
```

5.
Here is a geometry-optimized RbTlAgO2 structure from Alexandria via LeMat-Bulk. Energies are from PBE-GGA.

```
data_RbTlAgO2
_chemical_formula_sum 'Rb4 Tl4 Ag4 O8'
_symmetry_space_group_name_H-M 'C m m e'
_symmetry_Int_Tables_number 67
_symmetry_space_group_name_Hall '-C 2a 2'
_cell_length_a 6.668
_cell_length_b 13.198
_cell_length_c 5.438
_cell_angle_alpha 90.00
_cell_angle_beta 90.00
_cell_angle_gamma 90.00
loop_
_atom_site_label
_atom_site_fract_x
_atom_site_fract_y
_atom_site_fract_z
Rb1 0.000 0.250 0.223
Tl1 0.250 0.000 0.000
Ag1 0.000 0.000 0.500
O1 0.000 0.101 0.806
```

6.
Here is a geometry-optimized RbTlAgO3 structure from Alexandria via LeMat-Bulk. Energies are from PBE-GGA.

```
data_RbTlAgO3
_chemical_formula_sum 'Rb4 Tl4 Ag4 O12'
_symmetry_space_group_name_H-M 'C m c m'
_symmetry_Int_Tables_number 63
_symmetry_space_group_name_Hall '-C 2c 2'
_cell_length_a 3.633
_cell_length_b 13.884
_cell_length_c 9.473
_cell_angle_alpha 90.00
_cell_angle_beta 90.00
_cell_angle_gamma 90.00
loop_
_atom_site_label
_atom_site_fract_x
_atom_site_fract_y
_atom_site_fract_z
Rb1 0.000 0.179 0.250
Tl1 0.000 0.500 0.000
Ag1 0.000 0.095 0.750
O1 0.000 0.106 0.531
O2 0.000 0.488 0.750
```

7.
Here is a geometry-optimized Rb3UAg2O6 structure from Alexandria via LeMat-Bulk. Energies are from PBE-GGA.

```
data_Rb3UAg2O6
_chemical_formula_sum 'Rb6 U2 Ag4 O12'
_symmetry_space_group_name_H-M 'C 1 2/m 1'
_symmetry_Int_Tables_number 12
_symmetry_space_group_name_Hall '-C 2y'
_cell_length_a 6.019
_cell_length_b 11.379
_cell_length_c 6.492
_cell_angle_alpha 90.00
_cell_angle_beta 101.81
_cell_angle_gamma 90.00
loop_
_atom_site_label
_atom_site_fract_x
_atom_site_fract_y
_atom_site_fract_z
Rb1 0.000 0.000 0.000
Rb2 0.000 0.314 0.000
U1 0.000 0.500 0.500
Ag1 0.000 0.158 0.500
O1 0.161 0.500 0.260
O2 0.229 0.365 0.668
```

8.
Here is a geometry-optimized RbUAg2O6 structure from Alexandria via LeMat-Bulk. Energies are from PBE-GGA.

```
data_RbUAg2O6
_chemical_formula_sum 'Rb4 U4 Ag8 O24'
_symmetry_space_group_name_H-M 'C 1 2/c 1'
_symmetry_Int_Tables_number 15
_symmetry_space_group_name_Hall '-C 2yc'
_cell_length_a 9.270
_cell_length_b 9.691
_cell_length_c 7.935
_cell_angle_alpha 90.00
_cell_angle_beta 94.78
_cell_angle_gamma 90.00
loop_
_atom_site_label
_atom_site_fract_x
_atom_site_fract_y
_atom_site_fract_z
Rb1 0.000 0.149 0.250
U1 0.000 0.284 0.750
Ag1 0.203 0.497 0.061
O1 0.065 0.330 0.516
O2 0.129 0.137 0.868
O3 0.179 0.432 0.808
```

Taking the records one at a time from the top gives final energy values of -3.27 -4.74 -6.07 -5.67 -3.79 -4.06 -5.74 -6.25 eV/atom.
Taking the records one at a time from the top gives formation energy (no corrections) values of -837 -616 -947 -1240 -276 -317 -1857 -1426 kJ/mol of formula units.
Taking the records one at a time from the top gives total magnetic moment values of 0.00 0.00 0.00 8.39 0.00 3.14 1.82 0.00 Bohr magnetons per cell.